[1]
# PBE BeAu4Se, optimized geometry
# Raw formation energy in eV/atom: 0.4701
# DOS(E_F) in states/eV/atom: 0.323
data_BeAu4Se
_chemical_formula_sum 'Be4 Au16 Se4'
_cell_length_a 7.7693
_cell_length_b 7.7693
_cell_length_c 7.7693
_cell_angle_alpha 90.00
_cell_angle_beta 90.00
_cell_angle_gamma 90.00
_space_group_name_H-M_alt 'F -4 3 m'
_space_group_IT_number 216
_space_group_name_Hall 'F -4 2 3'
loop_
_atom_site_label
_atom_site_type_symbol
_atom_site_fract_x
_atom_site_fract_y
_atom_site_fract_z
Be1 Be 0.0000 0.0000 0.0000
Au1 Au 0.1254 0.1254 0.6254
Se1 Se 0.2500 0.2500 0.2500



[2]
# PBE Be2Au2Se, optimized geometry
# Raw formation energy in eV/atom: 0.1668
# DOS(E_F) in states/eV/atom: 0.372
data_Be2Au2Se
_chemical_formula_sum 'Be4 Au4 Se2'
_cell_length_a 7.3214
_cell_length_b 7.3214
_cell_length_c 2.8222
_cell_angle_alpha 90.00
_cell_angle_beta 90.00
_cell_angle_gamma 90.00
_space_group_name_H-M_alt 'P 4/m b m'
_space_group_IT_number 127
_space_group_name_Hall '-P 4 2ab'
loop_
_atom_site_label
_atom_site_type_symbol
_atom_site_fract_x
_atom_site_fract_y
_atom_site_fract_z
Be1 Be 0.1608 0.3392 0.0000
Au1 Au 0.1365 0.6365 0.5000
Se1 Se 0.0000 0.0000 0.0000



[3]
# PBE BeAuSe2, optimized geometry
# Raw formation energy in eV/atom: -0.2706
# DOS(E_F) in states/eV/atom: 0.595
# Excess energy over the best structure of this formula in the dataset in eV per atom: 0.000
data_BeAuSe2
_chemical_formula_sum 'Be4 Au4 Se8'
_cell_length_a 5.6877
_cell_length_b 5.6877
_cell_length_c 10.5263
_cell_angle_alpha 90.00
_cell_angle_beta 90.00
_cell_angle_gamma 90.00
_space_group_name_H-M_alt 'I -4 2 d'
_space_group_IT_number 122
_space_group_name_Hall 'I -4 2bw'
loop_
_atom_site_label
_atom_site_type_symbol
_atom_site_fract_x
_atom_site_fract_y
_atom_site_fract_z
Be1 Be 0.0000 0.0000 0.0000
Au1 Au 0.0000 0.0000 0.5000
Se1 Se 0.1982 0.2500 0.1250



[4]
# PBE BeAuSe4, optimized geometry
# Raw formation energy in eV/atom: 0.9368
# DOS(E_F) in states/eV/atom: 0.506
data_BeAuSe4
_chemical_formula_sum 'Be4 Au4 Se16'
_cell_length_a 7.9920
_cell_length_b 7.9920
_cell_length_c 7.9920
_cell_angle_alpha 90.00
_cell_angle_beta 90.00
_cell_angle_gamma 90.00
_space_group_name_H-M_alt 'F -4 3 m'
_space_group_IT_number 216
_space_group_name_Hall 'F -4 2 3'
loop_
_atom_site_label
_atom_site_type_symbol
_atom_site_fract_x
_atom_site_fract_y
_atom_site_fract_z
Be1 Be 0.0000 0.0000 0.0000
Au1 Au 0.2500 0.2500 0.2500
Se1 Se 0.1252 0.1252 0.6252



[5]
# PBE BeAuSe2, optimized geometry
# Raw formation energy in eV/atom: 0.1492
# DOS(E_F) in states/eV/atom: 0.422
# Excess energy over the best structure of this formula in the dataset in eV per atom: 0.420
data_BeAuSe2
_chemical_formula_sum 'Be1 Au1 Se2'
_cell_length_a 4.4953
_cell_length_b 3.5534
_cell_length_c 5.0583
_cell_angle_alpha 90.00
_cell_angle_beta 113.89
_cell_angle_gamma 90.00
_space_group_name_H-M_alt 'P 1 2/m 1'
_space_group_IT_number 10
loop_
_space_group_symop_operation_xyz
'x,y,z'
'-x,-y,-z'
'-x,y,-z'
'x,-y,z'
loop_
_atom_site_label
_atom_site_type_symbol
_atom_site_fract_x
_atom_site_fract_y
_atom_site_fract_z
Be1 Be 0.0000 0.0000 0.0000
Au1 Au 0.5000 0.0000 0.5000
Se1 Se 0.2106 0.5000 0.8135



[6]
# PBE Be3AuSe, optimized geometry
# Raw formation energy in eV/atom: 0.5821
# DOS(E_F) in states/eV/atom: 0.536
# Excess energy over the best structure of this formula in the dataset in eV per atom: 0.000
data_Be3AuSe
_chemical_formula_sum 'Be3 Au1 Se1'
_cell_length_a 4.4076
_cell_length_b 4.4076
_cell_length_c 4.4076
_cell_angle_alpha 90.00
_cell_angle_beta 90.00
_cell_angle_gamma 90.00
_space_group_name_H-M_alt 'P m -3 m'
_space_group_IT_number 221
_space_group_name_Hall '-P 4 2 3'
loop_
_atom_site_label
_atom_site_type_symbol
_atom_site_fract_x
_atom_site_fract_y
_atom_site_fract_z
Be1 Be 0.0000 0.0000 0.5000
Au1 Au 0.0000 0.0000 0.0000
Se1 Se 0.5000 0.5000 0.5000



[7]
# PBE BeAuSe2, optimized geometry
# Raw formation energy in eV/atom: -0.1433
# DOS(E_F) in states/eV/atom: 0.408
# Excess energy over the best structure of this formula in the dataset in eV per atom: 0.127
data_BeAuSe2
_chemical_formula_sum 'Be3 Au3 Se6'
_cell_length_a 3.4738
_cell_length_b 3.4738
_cell_length_c 22.5431
_cell_angle_alpha 90.00
_cell_angle_beta 90.00
_cell_angle_gamma 120.00
_space_group_name_H-M_alt 'R -3 m'
_space_group_IT_number 166
_space_group_name_Hall '-R 3 2"'
loop_
_atom_site_label
_atom_site_type_symbol
_atom_site_fract_x
_atom_site_fract_y
_atom_site_fract_z
Be1 Be 0.0000 0.0000 0.0000
Au1 Au 0.0000 0.0000 0.5000
Se1 Se 0.0000 0.0000 0.3917



[8]
# PBE BeAuSe2, optimized geometry
# Raw formation energy in eV/atom: -0.1635
# DOS(E_F) in states/eV/atom: 0.399
# Excess energy over the best structure of this formula in the dataset in eV per atom: 0.107
data_BeAuSe2
_chemical_formula_sum 'Be2 Au2 Se4'
_cell_length_a 6.5631
_cell_length_b 3.6597
_cell_length_c 7.6035
_cell_angle_alpha 90.00
_cell_angle_beta 91.47
_cell_angle_gamma 90.00
_space_group_name_H-M_alt 'C 1 m 1'
_space_group_IT_number 8
loop_
_space_group_symop_operation_xyz
'x,y,z'
'x,-y,z'
'x+1/2,y+1/2,z'
'x+1/2,-y+1/2,z'
loop_
_atom_site_label
_atom_site_type_symbol
_atom_site_fract_x
_atom_site_fract_y
_atom_site_fract_z
Be1 Be 0.0000 0.0000 0.0000
Au1 Au 0.2663 0.5000 0.7485
Se1 Se 0.1698 0.5000 0.0809
Se2 Se 0.4118 0.0000 0.5568



[9]
# PBE BeAuSe2, optimized geometry
# Raw formation energy in eV/atom: -0.0165
# DOS(E_F) in states/eV/atom: 0.338
# Excess energy over the best structure of this formula in the dataset in eV per atom: 0.254
data_BeAuSe2
_chemical_formula_sum 'Be1 Au1 Se2'
_cell_length_a 3.4308
_cell_length_b 3.4308
_cell_length_c 6.6513
_cell_angle_alpha 90.00
_cell_angle_beta 90.00
_cell_angle_gamma 90.00
_space_group_name_H-M_alt 'P 4 m m'
_space_group_IT_number 99
loop_
_space_group_symop_operation_xyz
'x,y,z'
'-y,x,z'
'-x,-y,z'
'y,-x,z'
'-x,y,z'
'y,x,z'
'x,-y,z'
'-y,-x,z'
loop_
_atom_site_label
_atom_site_type_symbol
_atom_site_fract_x
_atom_site_fract_y
_atom_site_fract_z
Be1 Be 0.0000 0.0000 0.0000
Au1 Au 0.5000 0.5000 0.5232
Se1 Se 0.0000 0.0000 0.3376
Se2 Se 0.5000 0.5000 0.9093



[10]
# PBE BeAuSe2, optimized geometry
# Raw formation energy in eV/atom: 0.2615
# DOS(E_F) in states/eV/atom: 0.438
# Excess energy over the best structure of this formula in the dataset in eV per atom: 0.532
data_BeAuSe2
_chemical_formula_sum 'Be2 Au2 Se4'
_cell_length_a 3.2433
_cell_length_b 4.8449
_cell_length_c 10.2576
_cell_angle_alpha 90.00
_cell_angle_beta 90.00
_cell_angle_gamma 90.00
_space_group_name_H-M_alt 'C m m m'
_space_group_IT_number 65
_space_group_name_Hall '-C 2 2'
loop_
_atom_site_label
_atom_site_type_symbol
_atom_site_fract_x
_atom_site_fract_y
_atom_site_fract_z
Be1 Be 0.0000 0.0000 0.0000
Au1 Au 0.0000 0.0000 0.5000
Se1 Se 0.0000 0.5000 0.1648



[11]
# PBE BeAuSe2, optimized geometry
# Raw formation energy in eV/atom: 0.1652
# DOS(E_F) in states/eV/atom: 0.516
# Excess energy over the best structure of this formula in the dataset in eV per atom: 0.436
data_BeAuSe2
_chemical_formula_sum 'Be2 Au2 Se4'
_cell_length_a 3.3037
_cell_length_b 4.2642
_cell_length_c 10.8357
_cell_angle_alpha 90.00
_cell_angle_beta 90.00
_cell_angle_gamma 90.00
_space_group_name_H-M_alt 'I m m 2'
_space_group_IT_number 44
loop_
_space_group_symop_operation_xyz
'x,y,z'
'-x,-y,z'
'-x,y,z'
'x,-y,z'
'x+1/2,y+1/2,z+1/2'
'-x+1/2,-y+1/2,z+1/2'
'-x+1/2,y+1/2,z+1/2'
'x+1/2,-y+1/2,z+1/2'
loop_
_atom_site_label
_atom_site_type_symbol
_atom_site_fract_x
_atom_site_fract_y
_atom_site_fract_z
Be1 Be 0.0000 0.0000 0.0000
Au1 Au 0.0000 0.5000 0.3079
Se1 Se 0.0000 0.0000 0.4451
Se2 Se 0.0000 0.5000 0.6430



[12]
# PBE BeAuSe2, optimized geometry
# Raw formation energy in eV/atom: -0.2255
# DOS(E_F) in states/eV/atom: 0.323
# Excess energy over the best structure of this formula in the dataset in eV per atom: 0.045
data_BeAuSe2
_chemical_formula_sum 'Be1 Au1 Se2'
_cell_length_a 4.9546
_cell_length_b 3.5242
_cell_length_c 5.8337
_cell_angle_alpha 90.00
_cell_angle_beta 90.47
_cell_angle_gamma 90.00
_space_group_name_H-M_alt 'P 1 m 1'
_space_group_IT_number 6
loop_
_space_group_symop_operation_xyz
'x,y,z'
'x,-y,z'
loop_
_atom_site_label
_atom_site_type_symbol
_atom_site_fract_x
_atom_site_fract_y
_atom_site_fract_z
Be1 Be 0.0000 0.0000 0.0000
Au1 Au 0.5478 0.5000 0.1109
Se1 Se 0.2649 0.0000 0.3034
Se2 Se 0.8953 0.5000 0.8015



[13]
# PBE BeAuSe2, optimized geometry
# Raw formation energy in eV/atom: 0.2671
# DOS(E_F) in states/eV/atom: 0.539
# Excess energy over the best structure of this formula in the dataset in eV per atom: 0.538
data_BeAuSe2
_chemical_formula_sum 'Be2 Au2 Se4'
_cell_length_a 3.5401
_cell_length_b 3.5401
_cell_length_c 18.1280
_cell_angle_alpha 90.00
_cell_angle_beta 90.00
_cell_angle_gamma 90.00
_space_group_name_H-M_alt 'I -4 m 2'
_space_group_IT_number 119
_space_group_name_Hall 'I -4 -2'
loop_
_atom_site_label
_atom_site_type_symbol
_atom_site_fract_x
_atom_site_fract_y
_atom_site_fract_z
Be1 Be 0.0000 0.0000 0.0000
Au1 Au 0.0000 0.5000 0.2500
Se1 Se 0.0000 0.0000 0.5000
Se2 Se 0.0000 0.5000 0.7500



[14]
# PBE BeAuSe2, optimized geometry
# Raw formation energy in eV/atom: 0.1505
# DOS(E_F) in states/eV/atom: 0.433
# Excess energy over the best structure of this formula in the dataset in eV per atom: 0.421
data_BeAuSe2
_chemical_formula_sum 'Be2 Au2 Se4'
_cell_length_a 3.4330
_cell_length_b 4.6580
_cell_length_c 9.7701
_cell_angle_alpha 90.00
_cell_angle_beta 90.00
_cell_angle_gamma 90.00
_space_group_name_H-M_alt 'C m m 2'
_space_group_IT_number 35
loop_
_space_group_symop_operation_xyz
'x,y,z'
'-x,-y,z'
'-x,y,z'
'x,-y,z'
'x+1/2,y+1/2,z'
'-x+1/2,-y+1/2,z'
'-x+1/2,y+1/2,z'
'x+1/2,-y+1/2,z'
loop_
_atom_site_label
_atom_site_type_symbol
_atom_site_fract_x
_atom_site_fract_y
_atom_site_fract_z
Be1 Be 0.0000 0.0000 0.0000
Au1 Au 0.0000 0.5000 0.1779
Se1 Se 0.0000 0.0000 0.4445
Se2 Se 0.0000 0.5000 0.8452